VASP calculation (PBE-GGA) on crystalline Y2MnRh at its relaxed geometry.

Cell and atoms, written as extended XYZ:
```
4
Lattice="4.8733 0.0000 0.0000 2.4367 4.2204 0.0000 2.4367 1.4068 3.9791" Properties=species:S:1:pos:R:3 pbc="T T T"
Y 2.4367 1.4068 0.9948
Mn 4.8733 2.8136 1.9895
Rh 7.3100 4.2204 2.9843
Y 0.0000 0.0000 0.0000
```

Values from the calculation:
Uncorrected energy, eV/atom: -7.38
Symmetry: F-43m
Magnetization, μB per formula unit: 4.5

VASP calculation (PBE-GGA) on crystalline NpAsSe3 at its relaxed geometry.

Cell and atoms, written as extended XYZ:
```
10
Lattice="-2.7319 -2.3510 1.8641 -0.1264 -3.4356 -4.5183 8.7993 -4.7362 6.9223" Properties=species:S:1:pos:R:3 pbc="T T T"
As 4.4556 -7.1308 4.1609
Se 4.6271 -8.7707 2.3440
Np 4.8092 -3.9223 4.3093
Se -0.8851 -4.5228 -0.3768
Se 6.8164 -6.2634 4.2984
Se 1.2916 -2.3575 1.1279
As 1.4452 -4.4867 -1.3325
Se 4.0847 -5.1622 1.6838
Se 1.9073 -3.9738 4.4081
Np 1.1836 -5.1930 1.8098
```

Values from the calculation:
E_form (uncorrected), eV/atom: -0.6060
Uncorrected energy, eV/atom: -6.21
Symmetry: Ama2
Magnetization, μB per formula unit: 3.8

VASP calculation (PBE-GGA) on crystalline TlAgSe2 at its relaxed geometry.

Cell and atoms, written as extended XYZ:
```
8
Lattice="-6.0540 4.3653 1.1630 -4.7364 -5.2050 1.1127 2.2350 1.1643 3.7213" Properties=species:S:1:pos:R:3 pbc="T T T"
Tl -5.7911 1.6727 3.3920
Ag -9.0110 -0.1059 4.4089
Se -6.1671 -1.4002 1.9541
Se -2.6227 -2.0218 1.1560
Se -1.3755 0.0688 0.7491
Ag -3.5428 -1.5238 3.4932
Se -8.6210 -1.3930 2.2265
Tl -2.0266 1.9063 3.4002
```

Values from the calculation:
E_form (uncorrected), eV/atom: -0.1656
Uncorrected energy, eV/atom: -3.21
Symmetry: P-1
Magnetization, μB per formula unit: 0.0